Entry from Alexandria via LeMat-Bulk: a geometry-optimized MgAg2Pt structure (PBEsol).

Cell: 3.9518 3.9518 4.0978 Å, 90.00 90.00 90.00°
With the nearest neighbours (Å) after each atom.
Space group P4/mmm (No. 123)
Symmetry-distinct sites (fractional):
Mg  0.0000  0.0000  0.0000 (multiplicity 1)  4 Pt 2.79, 8 Ag 2.85
Ag  0.0000  0.5000  0.5000 (multiplicity 2)  4 Ag 2.79, 4 Mg 2.85, 4 Pt 2.85
Pt  0.5000  0.5000  0.0000 (multiplicity 1)  4 Mg 2.79, 8 Ag 2.85

## Properties
- Fermi-level density of states (states/eV/cell) = 0.94
- E_form (eV/atom) = -0.346